Entry 1:
Material: MgTaTlOs
Method: DFT, PBE
State: relaxed

Cell lengths 4.645, 4.645, 4.645 Å; angles 60.00, 60.00, 60.00 degrees
Fractional coordinates of all 4 atoms:
Ta: 0.000 0.000 0.000
Mg: 0.750 0.750 0.750
Tl: 0.250 0.250 0.250
Os: 0.500 0.500 0.500

space-group type = F-43m (216)
distance to the lowest polymorph of the same formula = 480 meV/atom

Entry 2:
Material: Pa3Ni3Bi4
Method: DFT, PBE
State: relaxed

Cell lengths 8.350, 8.350, 8.350 Å; angles 109.47, 109.47, 109.47 degrees
Fractional coordinates of all 20 atoms:
Bi: 0.500 0.000 0.669
Pa: 0.125 0.875 0.250
Pa: 0.250 0.125 0.875
Ni: 0.375 0.250 0.625
Bi: 0.000 0.169 0.500
Bi: 0.500 0.000 0.169
Ni: 0.125 0.750 0.875
Ni: 0.875 0.125 0.750
Bi: 0.169 0.500 0.000
Bi: 0.669 0.500 0.000
Bi: 0.000 0.669 0.500
Bi: 0.331 0.331 0.331
Ni: 0.250 0.625 0.375
Pa: 0.375 0.625 0.750
Bi: 0.831 0.831 0.831
Pa: 0.875 0.250 0.125
Ni: 0.625 0.375 0.250
Pa: 0.750 0.375 0.625
Ni: 0.750 0.875 0.125
Pa: 0.625 0.750 0.375

space-group type = I-43d (220)
electronic total energy = -6.497 eV/atom

Entry 3:
Material: LiNbAs
Method: DFT, PBE
State: relaxed

Cell lengths 4.240, 4.240, 4.240 Å; angles 60.00, 60.00, 60.00 degrees
Fractional coordinates of all 3 atoms:
Li: 0.250 0.250 0.250
As: 0.000 0.000 0.000
Nb: 0.750 0.750 0.750

space-group type = F-43m (216)
distance to the lowest polymorph of the same formula = 0 meV/atom

Entry 4:
Material: ReSeCl4
Method: DFT, PBE
State: relaxed

Cell lengths 6.588, 7.529, 7.759 Å; angles 77.17, 79.99, 79.49 degrees
Fractional coordinates of all 12 atoms:
Cl: 0.020 0.514 0.724
Se: 0.364 0.248 0.989
Cl: 0.156 0.838 0.848
Re: 0.853 0.800 0.761
Se: 0.636 0.752 0.011
Cl: 0.980 0.486 0.276
Cl: 0.803 0.116 0.666
Re: 0.147 0.200 0.239
Cl: 0.844 0.162 0.152
Cl: 0.333 0.211 0.457
Cl: 0.667 0.789 0.543
Cl: 0.197 0.884 0.334

space-group type = P-1 (2)
electronic total energy = -4.356 eV/atom